Entry 1:
# TlHg2Ir

An optimized crystal structure of TlHg2Ir (GGA-PBE, Alexandria).

symmetry = No. 119
ΔH_f (0 K) = 512.3 meV per atom
excess energy over the best structure of this formula in the dataset = 0.94 eV per formula unit
volume = 82 Å³ per cell
DFT total energy = -2.445 eV/atom

Unit cell a=5.4158 b=5.4158 c=5.4158 alpha=133.52 beta=133.52 gamma=67.84
Element x y z (fractional)
Hg (0.0000, 0.0000, 0.0000)
Hg (0.2500, 0.7500, 0.5000)
Ir (0.5000, 0.5000, 0.0000)
Tl (0.7500, 0.2500, 0.5000)

***

Entry 2:
# ZrInSeN2

An optimized crystal structure of ZrInSeN2 (GGA-PBE, Alexandria).

symmetry = No. 123
excess energy over the best structure of this formula in the dataset = 4.16 eV per formula unit
energy relative to the elements, uncorrected = 966 meV per atom
volume = 90 Å³ per cell
DFT total energy = -5.318 eV/atom

Unit cell a=4.1192 b=4.1192 c=5.3022 alpha=90.00 beta=90.00 gamma=90.00
Site moments in Bohr magnetons follow the coordinates.
Element x y z (fractional)
N (0.0000, 0.5000, 0.0000)  -0.34
N (0.5000, 0.0000, 0.0000)  -0.34
Se (0.0000, 0.0000, 0.5000)  -0.02
Zr (0.5000, 0.5000, 0.5000)  0.33
In (0.0000, 0.0000, 0.0000)  0.00

***

Entry 3:
# LiLaRh4

An optimized crystal structure of LiLaRh4 (GGA-PBE, Alexandria).

symmetry = No. 216
ΔH_f (0 K) = -366.1 meV per atom
volume = 106 Å³ per cell
DFT total energy = -6.407 eV/atom

Unit cell a=5.3200 b=5.3200 c=5.3200 alpha=60.00 beta=60.00 gamma=60.00
Element x y z (fractional)
La (0.2500, 0.2500, 0.2500)
Li (0.0000, 0.0000, 0.0000)
Rh (0.1235, 0.6255, 0.6255)
Rh (0.6255, 0.6255, 0.6255)
Rh (0.6255, 0.1235, 0.6255)
Rh (0.6255, 0.6255, 0.1235)

***

Entry 4:
# NpWS2

An optimized crystal structure of NpWS2 (GGA-PBE, Alexandria).

symmetry = No. 166
energy relative to the elements, uncorrected = -13 meV per atom
volume = 74 Å³ per cell
DFT total energy = -8.550 eV/atom

Unit cell a=3.1192 b=3.1192 c=8.9130 alpha=79.92 beta=79.92 gamma=60.00
Site moments in Bohr magnetons follow the coordinates.
Element x y z (fractional)
Np (0.5000, 0.5000, 0.5000)  2.88
S (0.0889, 0.0889, 0.7334)  -0.08
S (0.9111, 0.9111, 0.2666)  -0.08
W (0.0000, 0.0000, 0.0000)  -0.04